Pm3Pr2Ga4 PBE relaxed; energy relative to the lowest polymorph listed for this composition = 0.133 eV/atom; symmetry = Cmce; formation energy = -398 meV per atom
1.0
7.158 0.000 0.000
0.000 8.869 0.000
-3.579 0.000 7.897
Pm Ga Pr
6 8 4
direct
0.500 0.500 0.000
0.531 0.750 0.561
0.469 0.250 0.439
0.031 0.750 0.561
0.969 0.250 0.439
0.000 0.000 0.000
0.779 0.250 0.058
0.812 0.033 0.623
0.721 0.750 0.942
0.688 0.533 0.377
0.312 0.467 0.623
0.279 0.250 0.058
0.188 0.967 0.377
0.221 0.750 0.942
0.106 0.573 0.212
0.394 0.073 0.788
0.606 0.927 0.212
0.894 0.427 0.788

***

Pm5Pr4Ga PBE relaxed; symmetry = P4/mmm; formation energy = -95 meV per atom
1.0
3.685 0.000 0.000
0.000 3.685 0.000
0.000 0.000 24.548
Ga Pm Pr
1 5 4
direct
0.000 0.000 0.000
0.500 0.500 0.500
0.500 0.500 0.073
0.500 0.500 0.713
0.500 0.500 0.287
0.500 0.500 0.927
0.000 0.000 0.606
0.000 0.000 0.394
0.000 0.000 0.181
0.000 0.000 0.819

***

Pm3Pr2Ga4 PBE relaxed; energy relative to the lowest polymorph listed for this composition = 0.000 eV/atom; symmetry = P2_1/c; formation energy = -531 meV per atom
1.0
-6.253 2.881 -3.315
-2.018 -7.589 2.410
-2.480 2.961 7.250
Pm Pr Ga
6 4 8
direct
0.753 0.236 0.825
0.000 0.500 0.500
0.253 0.236 0.675
0.247 0.764 0.175
0.747 0.764 0.325
0.500 0.500 0.000
0.427 0.811 0.683
0.073 0.189 0.183
0.573 0.189 0.317
0.927 0.811 0.817
0.382 0.491 0.379
0.131 0.920 0.470
0.869 0.080 0.530
0.618 0.509 0.621
0.631 0.920 0.030
0.882 0.491 0.121
0.369 0.080 0.970
0.118 0.509 0.879

***

PmPr2Ga3 PBE relaxed; symmetry = P4/mmm; formation energy = -553 meV per atom
1.0
3.704 0.000 0.000
0.000 3.704 0.000
0.000 0.000 11.138
Ga Pr Pm
3 2 1
direct
0.000 0.000 0.661
0.000 0.000 0.339
0.000 0.000 0.000
0.500 0.500 0.168
0.500 0.500 0.832
0.500 0.500 0.500

***

Pm4PrGa PBE relaxed; energy relative to the lowest polymorph listed for this composition = 0.005 eV/atom; symmetry = Cm; formation energy = -158 meV per atom
1.0
-2.094 -2.723 -1.606
-4.555 -1.700 4.339
-5.521 6.800 0.135
Pm Ga Pr
4 1 1
direct
0.777 0.581 0.635
0.226 0.414 0.362
0.372 0.961 0.204
0.630 0.033 0.792
0.001 0.997 0.498
0.502 0.498 0.999

***

Pm2PrGa PBE relaxed; energy relative to the lowest polymorph listed for this composition = 0.049 eV/atom; symmetry = Cmcm; formation energy = -211 meV per atom
1.0
5.405 0.000 0.000
-2.703 6.324 0.000
0.000 0.000 7.091
Pr Pm Ga
2 4 2
direct
0.060 0.120 0.750
0.940 0.880 0.250
0.361 0.722 0.525
0.639 0.278 0.025
0.361 0.722 0.975
0.639 0.278 0.475
0.821 0.642 0.750
0.179 0.358 0.250

***

Pm2Pr8Ga PBE relaxed; symmetry = C2/m; formation energy = -5 meV per atom
1.0
-1.300 2.323 -4.975
-2.181 -7.082 -2.737
-6.348 3.156 6.333
Pm Pr Ga
2 8 1
direct
0.813 0.340 0.625
0.187 0.660 0.375
0.182 0.224 0.365
0.987 0.226 0.973
0.602 0.418 0.203
0.344 0.079 0.687
0.656 0.921 0.313
0.013 0.774 0.027
0.818 0.776 0.635
0.398 0.582 0.797
0.500 0.000 0.000

***

PmPr2Ga6 PBE relaxed; energy relative to the lowest polymorph listed for this composition = 0.000 eV/atom; symmetry = P6/mmm; formation energy = -687 meV per atom
1.0
-3.252 -1.655 -2.325
3.198 2.459 -6.224
1.608 -6.769 2.571
Ga Pm Pr
6 1 2
direct
0.500 0.667 0.000
0.500 0.000 0.333
0.500 0.000 0.667
0.500 0.333 0.333
0.500 0.667 0.667
0.500 0.333 0.000
0.000 0.000 0.000
0.000 0.333 0.667
0.000 0.667 0.333